(1)
A plane-wave DFT calculation with GGA-PBEsol was carried out for a relaxed structure of AlCrCl2.

Cell lengths 3.191, 5.262, 9.861 Å; angles 90.00, 90.00, 90.00 degrees
Space group Immm (No. 71)
Inequivalent atoms, fractional coordinates:
Al (0.000, 0.000, 0.000)
Cr (0.000, 0.000, 0.500)
Cl (0.000, 0.500, 0.174)

ΔE to the lowest computed polymorph   0.0 meV per atom
Formation energy from raw total energies   -0.230 eV per atom


(2)
A plane-wave DFT calculation with GGA-PBEsol was carried out for a relaxed structure of CuRh3.

Cell lengths 2.6602, 2.6602, 8.5651 Å; angles 90.00, 90.00, 120.00 degrees
Space group P-6m2 (No. 187)
Inequivalent atoms, fractional coordinates:
Cu (0.0000, 0.0000, 0.0000)
Rh (0.0000, 0.0000, 0.5000)
Rh (0.6667, 0.3333, 0.2466)

Energy of formation from the pure elements   76 meV per atom


(3)
A plane-wave DFT calculation with GGA-PBEsol was carried out for a relaxed structure of SnAsP2Cl.

Cell lengths 5.015, 5.015, 4.815 Å; angles 90.00, 90.00, 90.00 degrees
Space group P4/mmm (No. 123)
Inequivalent atoms, fractional coordinates:
Sn (0.000, 0.000, 0.000)
As (0.500, 0.500, 0.500)
P (0.000, 0.500, 0.000)
Cl (0.000, 0.000, 0.500)

Formation energy from raw total energies   0.887 eV per atom


(4)
A plane-wave DFT calculation with GGA-PBEsol was carried out for a relaxed structure of Sr2LiTl.

Cell lengths 3.963, 3.963, 8.748 Å; angles 90.00, 90.00, 90.00 degrees
Space group P4mm (No. 99)
Inequivalent atoms, fractional coordinates:
Sr (0.000, 0.000, 0.000)
Sr (0.500, 0.500, 0.367)
Li (0.500, 0.500, 0.747)
Tl (0.000, 0.000, 0.606)

ΔE to the lowest computed polymorph   81.6 meV per atom
Energy of formation from the pure elements   -188 meV per atom


(5)
A plane-wave DFT calculation with GGA-PBEsol was carried out for a relaxed structure of Ag3Te2Au.

Cell lengths 10.217, 10.217, 10.217 Å; angles 90.00, 90.00, 90.00 degrees
Space group I4_132 (No. 214)
Inequivalent atoms, fractional coordinates:
Ag (0.000, 0.250, 0.357)
Te (0.024, 0.476, 0.524)
Au (0.125, 0.125, 0.125)

Formation energy from raw total energies   -0.025 eV per atom


(6)
A plane-wave DFT calculation with GGA-PBEsol was carried out for a relaxed structure of Ta2InNi.

Cell lengths 2.867, 2.867, 7.977 Å; angles 90.00, 90.00, 90.00 degrees
Space group P4mm (No. 99)
Inequivalent atoms, fractional coordinates:
Ta (0.000, 0.000, 0.000)
Ta (0.500, 0.500, 0.282)
In (0.000, 0.000, 0.566)
Ni (0.500, 0.500, 0.789)

Energy of formation from the pure elements   -21 meV per atom


(7)
A plane-wave DFT calculation with GGA-PBEsol was carried out for a relaxed structure of Fe2CoP.

Cell lengths 2.536, 3.524, 4.637 Å; angles 90.00, 102.80, 90.00 degrees
Space group P2/m (No. 10)
Inequivalent atoms, fractional coordinates:
Fe (0.128, 0.000, 0.259)
Co (0.500, 0.500, 0.000)
P (0.500, 0.500, 0.500)

Energy of formation from the pure elements   -193 meV per atom


(8)
A plane-wave DFT calculation with GGA-PBEsol was carried out for a relaxed structure of TaRuRh2.

Cell lengths 2.7377, 2.7377, 26.7708 Å; angles 90.00, 90.00, 120.00 degrees
Space group R3m (No. 160, hexagonal axes)
Inequivalent atoms, fractional coordinates:
Ta (0.0000, 0.0000, 0.0000)
Ru (0.0000, 0.0000, 0.2457)
Rh (0.0000, 0.0000, 0.5004)
Rh (0.0000, 0.0000, 0.7500)

ΔE to the lowest computed polymorph   464.9 meV per atom
Energy of formation from the pure elements   -7 meV per atom


(9)
A plane-wave DFT calculation with GGA-PBEsol was carried out for a relaxed structure of HfAu.

Cell lengths 3.459, 3.459, 6.254 Å; angles 90.00, 90.00, 90.00 degrees
Space group P4/nmm (No. 129, origin choice 2)
Inequivalent atoms, fractional coordinates:
Hf (0.250, 0.250, 0.149)
Au (0.250, 0.250, 0.628)

Energy of formation from the pure elements   -584 meV per atom


(10)
A plane-wave DFT calculation with GGA-PBEsol was carried out for a relaxed structure of Li3ReAg.

Cell lengths 4.512, 4.512, 4.512 Å; angles 90.00, 90.00, 90.00 degrees
Space group Pm-3m (No. 221)
Inequivalent atoms, fractional coordinates:
Li (0.000, 0.000, 0.500)
Re (0.500, 0.500, 0.500)
Ag (0.000, 0.000, 0.000)

Energy of formation from the pure elements   1295 meV per atom


(11)
A plane-wave DFT calculation with GGA-PBEsol was carried out for a relaxed structure of Ta2CuBr.

Cell lengths 5.572, 8.430, 2.929 Å; angles 90.00, 107.35, 90.00 degrees
Space group C2/m (No. 12)
Inequivalent atoms, fractional coordinates:
Ta (0.250, 0.250, 0.000)
Cu (0.000, 0.000, 0.500)
Br (0.000, 0.500, 0.500)

ΔE to the lowest computed polymorph   179.3 meV per atom
Formation energy from raw total energies   0.586 eV per atom


(12)
A plane-wave DFT calculation with GGA-PBEsol was carried out for a relaxed structure of Y2WCl.

Cell lengths 6.246, 3.231, 8.803 Å; angles 90.00, 100.78, 90.00 degrees
Space group C2/m (No. 12)
Inequivalent atoms, fractional coordinates:
Y (0.231, 0.000, 0.252)
W (0.000, 0.000, 0.500)
Cl (0.000, 0.500, 0.000)

ΔE to the lowest computed polymorph   0.0 meV per atom
Formation energy from raw total energies   -0.264 eV per atom


(13)
A plane-wave DFT calculation with GGA-PBEsol was carried out for a relaxed structure of Mg2AgMo.

Cell lengths 3.853, 4.005, 8.798 Å; angles 90.00, 90.00, 90.00 degrees
Space group Cmmm (No. 65)
Inequivalent atoms, fractional coordinates:
Mg (0.000, 0.000, 0.250)
Ag (0.000, 0.500, 0.000)
Mo (0.000, 0.500, 0.500)

ΔE to the lowest computed polymorph   0.0 meV per atom
Energy of formation from the pure elements   132 meV per atom


(14)
A plane-wave DFT calculation with GGA-PBEsol was carried out for a relaxed structure of Li7OsN4.

Cell lengths 9.649, 9.649, 9.649 Å; angles 90.00, 90.00, 90.00 degrees
Space group Pa-3 (No. 205)
Inequivalent atoms, fractional coordinates:
Li (0.102, 0.136, 0.883)
Li (0.117, 0.631, 0.129)
Li (0.134, 0.134, 0.134)
Os (0.130, 0.630, 0.870)
N (0.008, 0.744, 0.984)
N (0.245, 0.745, 0.755)

Formation energy from raw total energies   -0.393 eV per atom


(15)
A plane-wave DFT calculation with GGA-PBEsol was carried out for a relaxed structure of BaNa2Nd2Si4CO15.

Cell lengths 14.040, 13.476, 6.974 Å; angles 90.00, 90.00, 90.00 degrees
Space group Pnma (No. 62)
Inequivalent atoms, fractional coordinates:
Ba (0.141, 0.250, 0.091)
Na (0.029, 0.037, 0.234)
Nd (0.213, 0.557, 0.880)
Si (0.074, 0.137, 0.618)
Si (0.150, 0.633, 0.382)
C (0.100, 0.750, 0.878)
O (0.039, 0.617, 0.446)
O (0.056, 0.666, 0.885)
O (0.081, 0.250, 0.709)
O (0.101, 0.063, 0.793)
O (0.134, 0.126, 0.421)
O (0.169, 0.750, 0.329)
O (0.173, 0.559, 0.204)
O (0.193, 0.750, 0.865)
O (0.223, 0.600, 0.551)

Formation energy from raw total energies   -2.786 eV per atom


(16)
A plane-wave DFT calculation with GGA-PBEsol was carried out for a relaxed structure of K2IrRuF.

Cell lengths 6.174, 6.174, 4.501 Å; angles 90.00, 90.00, 90.00 degrees
Space group P4/mmm (No. 123)
Inequivalent atoms, fractional coordinates:
K (0.000, 0.500, 0.000)
Ir (0.000, 0.000, 0.000)
Ru (0.000, 0.000, 0.500)
F (0.500, 0.500, 0.500)

Formation energy from raw total energies   0.493 eV per atom


(17)
A plane-wave DFT calculation with GGA-PBEsol was carried out for a relaxed structure of La2Ir.

Cell lengths 4.1986, 4.1986, 6.4783 Å; angles 90.00, 90.00, 120.00 degrees
Space group P-3m1 (No. 164)
Inequivalent atoms, fractional coordinates:
La (0.3333, 0.6667, 0.2273)
Ir (0.0000, 0.0000, 0.0000)

Energy of formation from the pure elements   -522 meV per atom


(18)
A plane-wave DFT calculation with GGA-PBEsol was carried out for a relaxed structure of SrCoOs2.

Cell lengths 4.2319, 4.2319, 16.2483 Å; angles 90.00, 90.00, 120.00 degrees
Space group R3m (No. 160, hexagonal axes)
Inequivalent atoms, fractional coordinates:
Sr (0.0000, 0.0000, 0.0000)
Co (0.0000, 0.0000, 0.8107)
Os (0.0000, 0.0000, 0.1890)
Os (0.0000, 0.0000, 0.5052)

ΔE to the lowest computed polymorph   0.0 meV per atom
Energy of formation from the pure elements   354 meV per atom